Record 1
Ca2ZrRu | PBE-GGA | optimized geometry

a b c (Å): 6.2149 6.2149 6.2149
angles (deg): 146.55 126.30 64.76
With the nearest neighbours (Å) after each atom.
Sites, in units of the cell vectors:
Ca  0.0000  0.0000  0.0000  2 Ru 2.98
Ca  0.6970  0.1970  0.5000  4 Ru 3.34, 4 Zr 3.47-3.67, 6 Ca 3.49-3.65
Zr  0.3920  0.3920  0.0000  2 Ru 2.49
Ru  0.2276  0.7276  0.5000  2 Zr 2.49

Results
DOS at the Fermi energy in states/eV/cell: 3.74
Calculated volume in Å³/atom: 26.35
E above lowest polymorph in kJ/mol of formula units: 47.6

Record 2
PaTe2I5 | PBE-GGA | optimized geometry

a b c (Å): 9.5345 9.5345 12.4502
angles (deg): 130.69 130.69 36.45
With the nearest neighbours (Å) after each atom.
Sites, in units of the cell vectors:
Pa  0.0000  0.0000  0.0000  6 I 2.90-2.98
Te  0.2864  0.7136  0.5000  1 Te 2.65
Te  0.7299  0.2701  0.5000  1 Te 2.65
I  0.1551  0.1559  0.3205  1 Pa 2.90
I  0.1557  0.1561  0.9908  1 Pa 2.90
I  0.5000  0.5000  0.0000  2 Pa 2.98
I  0.8439  0.8443  0.0092  1 Pa 2.90
I  0.8441  0.8449  0.6795  1 Pa 2.90

Results
DOS at the Fermi energy in states/eV/cell: 4.95
Calculated volume in Å³/atom: 61.13

Record 3
CaRh3Cl | PBE-GGA | optimized geometry

a b c (Å): 4.5017 4.5017 4.5017
angles (deg): 90.00 90.00 90.00
With the nearest neighbours (Å) after each atom.
Sites, in units of the cell vectors:
Ca  0.0000  0.0000  0.0000  12 Rh 3.18
Rh  0.0000  0.5000  0.5000  2 Cl 2.25
Rh  0.5000  0.0000  0.5000  2 Cl 2.25
Rh  0.5000  0.5000  0.0000  2 Cl 2.25
Cl  0.5000  0.5000  0.5000  6 Rh 2.25

Results
DOS at the Fermi energy in states/eV/cell: 4.61
Calculated volume in Å³/atom: 18.25
E above lowest polymorph in kJ/mol of formula units: 0.0

Record 4
HgSb | PBE-GGA | optimized geometry

a b c (Å): 6.3896 6.3896 4.0479
angles (deg): 90.00 90.00 135.62
With the nearest neighbours (Å) after each atom.
Sites, in units of the cell vectors:
Hg  0.1347  0.8653  0.7500  5 Sb 3.19-3.22
Hg  0.8653  0.1347  0.2500  5 Sb 3.19-3.22
Sb  0.4068  0.5932  0.7500  2 Sb 2.99, 5 Hg 3.19-3.22
Sb  0.5932  0.4068  0.2500  2 Sb 2.99, 5 Hg 3.19-3.22

Results
DOS at the Fermi energy in states/eV/cell: 1.79
Calculated volume in Å³/atom: 28.89
E above lowest polymorph in kJ/mol of formula units: 20.5

Computed values of density (unit: g/cm3) for the preceding records, in sequence: 4.3; 3.8; 7.0; 9.3.
Computed values of E_tot (unit: eV per atom) for the preceding records, in sequence: -5.422; -3.433; -4.999; -2.077.